# 1
Material: Tb12HgRh6
Method: DFT, PBE
State: relaxed

Cell lengths 9.902, 9.902, 9.902 Å; angles 90.00, 90.00, 90.00 degrees
Space group Im-3 (No. 204)
One atom of each set of equivalent atoms:
Tb (0.000, 0.188, 0.301) (multiplicity 24)
Hg (0.000, 0.000, 0.000) (multiplicity 2)
Rh (0.000, 0.369, 0.500) (multiplicity 12)

Calculated total energy, eV per cell: -222.02
Volume, Å³/atom: 25.55
Formation enthalpy at 0 K, eV/atom: -0.581
Fermi-level density of states, states/eV/atom: 1.07

=====

# 2
Material: RbZnAgSb2
Method: DFT, PBE
State: relaxed

Cell lengths 4.998, 4.998, 11.420 Å; angles 90.00, 90.00, 90.00 degrees
Space group I-4m2 (No. 119)
One atom of each set of equivalent atoms:
Rb (0.000, 0.000, 0.000) (multiplicity 2)
Zn (0.000, 0.500, 0.250) (multiplicity 2)
Ag (0.000, 0.500, 0.750) (multiplicity 2)
Sb (0.000, 0.000, 0.371) (multiplicity 4)

Calculated total energy, eV per cell: -28.51
Volume, Å³/atom: 28.53
Fermi-level density of states, states/eV/atom: 0.29
ΔE_f (raw), eV per atom: -0.183

=====

# 3
Material: GdCu3S3
Method: DFT, PBE
State: relaxed

Cell lengths 6.7149, 6.7149, 19.3072 Å; angles 90.00, 90.00, 120.00 degrees
Space group R-3 (No. 148, hexagonal axes)
One atom of each set of equivalent atoms:
Gd (0.0000, 0.0000, 0.1665) (multiplicity 6)
Cu (0.0006, 0.6600, 0.3765) (multiplicity 18)
S (0.0007, 0.3322, 0.4151) (multiplicity 18)

Calculated total energy, eV per cell: -268.91
Volume, Å³/atom: 17.95
ΔE_f (raw), eV per atom: -0.867

=====

# 4
Material: AlTl4Cd
Method: DFT, PBE
State: relaxed

Cell lengths 9.060, 9.060, 9.060 Å; angles 90.00, 90.00, 90.00 degrees
Space group F-43m (No. 216)
One atom of each set of equivalent atoms:
Al (0.000, 0.000, 0.000) (multiplicity 4)
Tl (0.125, 0.125, 0.375) (multiplicity 16)
Cd (0.250, 0.250, 0.750) (multiplicity 4)

Calculated total energy, eV per cell: -48.34
Volume, Å³/atom: 30.99
Formation enthalpy at 0 K, eV/atom: 0.340
Fermi-level density of states, states/eV/atom: 0.72